Entry 1:
Ac2LaPmPr5 | PBE | optimized geometry

Energy of formation from the pure elements, kJ/mol of formula units: 107.3
SG: Cmc2_1, No. 36

abc: 5.944 10.869 11.141
angles: 90.00 90.00 105.87
Positions (direct):
Ac 0.883 0.765 0.822
Ac 0.114 0.229 0.730
Ac 0.117 0.235 0.322
Ac 0.886 0.771 0.230
La 0.586 0.173 0.960
La 0.414 0.827 0.460
Pm 0.792 0.584 0.508
Pm 0.208 0.416 0.008
Pr 0.391 0.783 0.022
Pr 0.718 0.435 0.812
Pr 0.482 0.964 0.741
Pr 0.296 0.592 0.703
Pr 0.981 0.961 0.525
Pr 0.609 0.217 0.522
Pr 0.282 0.565 0.312
Pr 0.518 0.036 0.241
Pr 0.704 0.408 0.203
Pr 0.019 0.039 0.025



Entry 2:
AcLaPm2Pr6 | PBE | optimized geometry

Energy of formation from the pure elements, kJ/mol of formula units: 105.4
SG: C2/c, No. 15

abc: 10.049 9.232 9.232
angles: 118.57 93.48 93.48
Positions (direct):
Ac 0.250 0.974 0.026
Ac 0.750 0.026 0.974
La 0.250 0.407 0.593
La 0.750 0.593 0.407
Pm 0.456 0.809 0.696
Pm 0.044 0.304 0.191
Pm 0.544 0.191 0.304
Pm 0.956 0.696 0.809
Pr 0.054 0.119 0.747
Pr 0.446 0.253 0.881
Pr 0.946 0.881 0.253
Pr 0.554 0.747 0.119
Pr 0.319 0.976 0.439
Pr 0.181 0.561 0.024
Pr 0.681 0.024 0.561
Pr 0.819 0.439 0.976
Pr 0.119 0.705 0.498
Pr 0.381 0.502 0.295
Pr 0.881 0.295 0.502
Pr 0.619 0.498 0.705



> Look up the energy of formation from the pure elements of the first one.

107.3 kJ/mol of formula units